Below is an optimized crystal structure of BaTcN2, with properties calculated at the PBE level.

abc: 3.977 3.977 8.154
angles: 90.00 90.00 90.00
Sites, in units of the cell vectors:
Ba 0.250 0.250 0.171
Ba 0.750 0.750 0.829
Tc 0.250 0.250 0.596
Tc 0.750 0.750 0.404
N 0.250 0.250 0.819
N 0.250 0.750 0.500
N 0.750 0.250 0.500
N 0.750 0.750 0.181

Output
Crystal system   tetragonal
Final energy   -0.27419 Ha/atom
Calculated volume   16.12 Å³/atom